Version A
Density functional theory data (SCAN) for LaTaHg2 at its PBEsol-relaxed geometry.

Results
Space group: No. 8

Cell lengths 11.3832, 3.1400, 5.4141 Å; angles 90.00, 111.92, 90.00 degrees
With the nearest neighbours (Å) after each atom.
Positions (direct):
La  0.0000  0.0000  0.0000  3 Ta 3.10-3.21, 7 Hg 3.12-3.44, 2 La 3.14
La  0.5000  0.5000  0.0000  3 Ta 3.10-3.21, 7 Hg 3.12-3.44, 2 La 3.14
Ta  0.2486  0.0000  0.8534  6 Hg 2.89-3.22, 3 La 3.10-3.21, 2 Ta 3.14
Ta  0.7486  0.5000  0.8534  6 Hg 2.89-3.22, 3 La 3.10-3.21, 2 Ta 3.14
Hg  0.0343  0.5000  0.5213  2 Ta 2.89, 4 La 3.12-3.18, 5 Hg 3.13-3.20
Hg  0.2784  0.5000  0.3615  4 Ta 3.07-3.22, 5 Hg 3.13-3.20, 3 La 3.42-3.44
Hg  0.5343  0.0000  0.5213  2 Ta 2.89, 4 La 3.12-3.18, 5 Hg 3.13-3.20
Hg  0.7784  0.0000  0.3615  4 Ta 3.07-3.22, 5 Hg 3.13-3.20, 3 La 3.42-3.44

Version B
Density functional theory data (SCAN) for LaTaHg2 at its PBEsol-relaxed geometry.

Results
Space group: No. 99

Cell lengths 3.1362, 3.1362, 9.0991 Å; angles 90.00, 90.00, 90.00 degrees
With the nearest neighbours (Å) after each atom.
Positions (direct):
La  0.0000  0.0000  0.0000  4 La 3.14, 4 Ta 3.30, 4 Hg 3.36
Ta  0.5000  0.5000  0.2684  4 Hg 2.94, 4 Ta 3.14
Hg  0.0000  0.0000  0.4813  4 Ta 2.94, 8 Hg 3.12-3.14
Hg  0.5000  0.5000  0.7225  8 Hg 3.12-3.14, 4 La 3.36

Version C
Density functional theory data (SCAN) for LaTaHg2 at its PBEsol-relaxed geometry.

Results
Space group: No. 225

Cell lengths 7.1903, 7.1903, 7.1903 Å; angles 90.00, 90.00, 90.00 degrees
With the nearest neighbours (Å) after each atom.
Positions (direct):
La  0.0000  0.0000  0.0000  8 Hg 3.11
La  0.0000  0.5000  0.5000  8 Hg 3.11
La  0.5000  0.0000  0.5000  8 Hg 3.11
La  0.5000  0.5000  0.0000  8 Hg 3.11
Ta  0.0000  0.0000  0.5000  8 Hg 3.11
Ta  0.0000  0.5000  0.0000  8 Hg 3.11
Ta  0.5000  0.0000  0.0000  8 Hg 3.11
Ta  0.5000  0.5000  0.5000  8 Hg 3.11
Hg  0.2500  0.2500  0.2500  4 Ta 3.11, 4 La 3.11
Hg  0.2500  0.2500  0.7500  4 Ta 3.11, 4 La 3.11
Hg  0.2500  0.7500  0.2500  4 Ta 3.11, 4 La 3.11
Hg  0.2500  0.7500  0.7500  4 Ta 3.11, 4 La 3.11
Hg  0.7500  0.2500  0.2500  4 Ta 3.11, 4 La 3.11
Hg  0.7500  0.2500  0.7500  4 Ta 3.11, 4 La 3.11
Hg  0.7500  0.7500  0.2500  4 Ta 3.11, 4 La 3.11
Hg  0.7500  0.7500  0.7500  4 Ta 3.11, 4 La 3.11

Version D
Density functional theory data (SCAN) for LaTaHg2 at its PBEsol-relaxed geometry.

Results
Space group: No. 47

Cell lengths 3.0704, 4.1313, 7.0649 Å; angles 90.00, 90.00, 90.00 degrees
With the nearest neighbours (Å) after each atom.
Positions (direct):
La  0.0000  0.0000  0.0000  2 La 3.07, 8 Hg 3.30
Ta  0.0000  0.0000  0.5000  8 Hg 2.96, 2 Ta 3.07
Hg  0.5000  0.5000  0.2918  3 Hg 2.94-3.07, 4 Ta 2.96
Hg  0.5000  0.5000  0.7082  3 Hg 2.94-3.07, 4 Ta 2.96

version D takes first place; second place is 165 meV/atom up.

Version A
Density functional theory data (SCAN) for LaTaHg2 at its PBEsol-relaxed geometry.

Results
Space group: No. 123

Cell lengths 3.0934, 3.0934, 9.0008 Å; angles 90.00, 90.00, 90.00 degrees
With the nearest neighbours (Å) after each atom.
Positions (direct):
La  0.0000  0.0000  0.0000  4 La 3.09, 8 Hg 3.32
Ta  0.0000  0.0000  0.5000  8 Hg 2.96, 4 Ta 3.09
Hg  0.5000  0.5000  0.2777  4 Ta 2.96, 4 Hg 3.09
Hg  0.5000  0.5000  0.7223  4 Ta 2.96, 4 Hg 3.09

Version B
Density functional theory data (SCAN) for LaTaHg2 at its PBEsol-relaxed geometry.

Results
Space group: No. 12

Cell lengths 10.5121, 3.1085, 5.6484 Å; angles 90.00, 100.87, 90.00 degrees
With the nearest neighbours (Å) after each atom.
Positions (direct):
La  0.0000  0.0000  0.0000  2 La 3.11, 6 Hg 3.19-3.31, 4 Ta 3.22
La  0.5000  0.5000  0.0000  2 La 3.11, 6 Hg 3.19-3.31, 4 Ta 3.22
Ta  0.0000  0.5000  0.5000  6 Hg 3.00-3.24, 2 Ta 3.11, 4 La 3.22
Ta  0.5000  0.0000  0.5000  6 Hg 3.00-3.24, 2 Ta 3.11, 4 La 3.22
Hg  0.2367  0.0000  0.7196  4 Hg 2.99-3.11, 3 Ta 3.00-3.24, 3 La 3.19-3.31
Hg  0.2633  0.5000  0.2804  4 Hg 2.99-3.11, 3 Ta 3.00-3.24, 3 La 3.19-3.31
Hg  0.7367  0.5000  0.7196  4 Hg 2.99-3.11, 3 Ta 3.00-3.24, 3 La 3.19-3.31
Hg  0.7633  0.0000  0.2804  4 Hg 2.99-3.11, 3 Ta 3.00-3.24, 3 La 3.19-3.31

version A takes first place; second place is 199 meV/atom up.

Version A
Density functional theory data (SCAN) for LaTlHg2 at its PBEsol-relaxed geometry.

Results
Space group: No. 216

Cell lengths 7.3934, 7.3934, 7.3934 Å; angles 90.00, 90.00, 90.00 degrees
With the nearest neighbours (Å) after each atom.
Positions (direct):
La  0.0000  0.0000  0.0000  4 Tl 3.20, 4 Hg 3.20
La  0.0000  0.5000  0.5000  4 Tl 3.20, 4 Hg 3.20
La  0.5000  0.0000  0.5000  4 Tl 3.20, 4 Hg 3.20
La  0.5000  0.5000  0.0000  4 Tl 3.20, 4 Hg 3.20
Tl  0.2500  0.2500  0.7500  4 Hg 3.20, 4 La 3.20
Tl  0.2500  0.7500  0.2500  4 Hg 3.20, 4 La 3.20
Tl  0.7500  0.2500  0.2500  4 Hg 3.20, 4 La 3.20
Tl  0.7500  0.7500  0.7500  4 Hg 3.20, 4 La 3.20
Hg  0.0000  0.0000  0.5000  4 Hg 3.20, 4 Tl 3.20
Hg  0.0000  0.5000  0.0000  4 Hg 3.20, 4 Tl 3.20
Hg  0.2500  0.2500  0.2500  4 La 3.20, 4 Hg 3.20
Hg  0.2500  0.7500  0.7500  4 La 3.20, 4 Hg 3.20
Hg  0.5000  0.0000  0.0000  4 Hg 3.20, 4 Tl 3.20
Hg  0.5000  0.5000  0.5000  4 Hg 3.20, 4 Tl 3.20
Hg  0.7500  0.2500  0.7500  4 La 3.20, 4 Hg 3.20
Hg  0.7500  0.7500  0.2500  4 La 3.20, 4 Hg 3.20

Version B
Density functional theory data (SCAN) for LaTlHg2 at its PBEsol-relaxed geometry.

Results
Space group: No. 123

Cell lengths 3.7826, 3.7826, 7.2810 Å; angles 90.00, 90.00, 90.00 degrees
With the nearest neighbours (Å) after each atom.
Positions (direct):
La  0.0000  0.0000  0.0000  8 Hg 3.28, 2 Tl 3.64
Tl  0.0000  0.0000  0.5000  8 Hg 3.19
Hg  0.5000  0.5000  0.2608  4 Tl 3.19, 4 La 3.28, 1 Hg 3.48
Hg  0.5000  0.5000  0.7392  4 Tl 3.19, 4 La 3.28, 1 Hg 3.48

Version C
Density functional theory data (SCAN) for LaTlHg2 at its PBEsol-relaxed geometry.

Results
Space group: No. 139

Cell lengths 5.2518, 5.2518, 7.3649 Å; angles 90.00, 90.00, 90.00 degrees
With the nearest neighbours (Å) after each atom.
Positions (direct):
La  0.0000  0.0000  0.0000  8 Hg 3.21
La  0.5000  0.5000  0.5000  8 Hg 3.21
Tl  0.0000  0.0000  0.5000  8 Hg 3.21
Tl  0.5000  0.5000  0.0000  8 Hg 3.21
Hg  0.0000  0.5000  0.2500  4 Tl 3.21, 4 La 3.21
Hg  0.0000  0.5000  0.7500  4 Tl 3.21, 4 La 3.21
Hg  0.5000  0.0000  0.2500  4 Tl 3.21, 4 La 3.21
Hg  0.5000  0.0000  0.7500  4 Tl 3.21, 4 La 3.21

version C takes first place; second place is 79 meV/atom up.

Version A
Density functional theory data (SCAN) for LaHg2W at its PBEsol-relaxed geometry.

Results
Space group: No. 123

Cell lengths 2.9823, 2.9823, 9.2819 Å; angles 90.00, 90.00, 90.00 degrees
With the nearest neighbours (Å) after each atom.
Positions (direct):
La  0.0000  0.0000  0.0000  4 La 2.98, 8 Hg 3.32
Hg  0.5000  0.5000  0.2769  4 W 2.96, 4 Hg 2.98
Hg  0.5000  0.5000  0.7231  4 W 2.96, 4 Hg 2.98
W  0.0000  0.0000  0.5000  8 Hg 2.96, 4 W 2.98

Version B
Density functional theory data (SCAN) for LaHg2W at its PBEsol-relaxed geometry.

Results
Space group: No. 47

Cell lengths 3.0483, 4.1945, 6.7381 Å; angles 90.00, 90.00, 90.00 degrees
With the nearest neighbours (Å) after each atom.
Positions (direct):
La  0.0000  0.0000  0.0000  2 La 3.05, 8 Hg 3.25, 2 W 3.37
Hg  0.5000  0.5000  0.2907  3 Hg 2.82-3.05, 4 W 2.95
Hg  0.5000  0.5000  0.7093  3 Hg 2.82-3.05, 4 W 2.95
W  0.0000  0.0000  0.5000  8 Hg 2.95, 2 W 3.05

version B takes first place; second place is 38 meV/atom up.

Version A
Density functional theory data (SCAN) for LaY2Hg2 at its PBEsol-relaxed geometry.

Results
Space group: No. 127

Cell lengths 8.4807, 8.4807, 3.7920 Å; angles 90.00, 90.00, 90.00 degrees
With the nearest neighbours (Å) after each atom.
Positions (direct):
La  0.0000  0.0000  0.0000  4 Hg 3.33, 8 Y 3.69
La  0.5000  0.5000  0.0000  4 Hg 3.33, 8 Y 3.69
Y  0.1657  0.3343  0.5000  6 Hg 3.10-3.16
Y  0.3343  0.8343  0.5000  6 Hg 3.10-3.16
Y  0.6657  0.1657  0.5000  6 Hg 3.10-3.16
Y  0.8343  0.6657  0.5000  6 Hg 3.10-3.16
Hg  0.1299  0.6299  0.0000  6 Y 3.10-3.16, 1 Hg 3.12, 2 La 3.33
Hg  0.3701  0.1299  0.0000  6 Y 3.10-3.16, 1 Hg 3.12, 2 La 3.33
Hg  0.6299  0.8701  0.0000  6 Y 3.10-3.16, 1 Hg 3.12, 2 La 3.33
Hg  0.8701  0.3701  0.0000  6 Y 3.10-3.16, 1 Hg 3.12, 2 La 3.33

Version B
Density functional theory data (SCAN) for LaY2Hg2 at its PBEsol-relaxed geometry.

Results
Space group: No. 139

Cell lengths 4.6775, 4.6775, 13.6135 Å; angles 90.00, 90.00, 90.00 degrees
With the nearest neighbours (Å) after each atom.
Positions (direct):
La  0.0000  0.0000  0.0000  8 Y 3.68
La  0.5000  0.5000  0.5000  8 Y 3.68
Y  0.0000  0.0000  0.3807  4 Hg 2.94, 1 Y 3.25
Y  0.0000  0.0000  0.6193  4 Hg 2.94, 1 Y 3.25
Y  0.5000  0.5000  0.1193  4 Hg 2.94, 1 Y 3.25
Y  0.5000  0.5000  0.8807  4 Hg 2.94, 1 Y 3.25
Hg  0.0000  0.5000  0.2500  4 Y 2.94
Hg  0.0000  0.5000  0.7500  4 Y 2.94
Hg  0.5000  0.0000  0.2500  4 Y 2.94
Hg  0.5000  0.0000  0.7500  4 Y 2.94

Version C
Density functional theory data (SCAN) for LaY2Hg2 at its PBEsol-relaxed geometry.

Results
Space group: No. 139

Cell lengths 4.8360, 4.8360, 12.5217 Å; angles 90.00, 90.00, 90.00 degrees
With the nearest neighbours (Å) after each atom.
Positions (direct):
La  0.0000  0.0000  0.0000  8 Hg 3.68, 8 Y 3.96
La  0.5000  0.5000  0.5000  8 Hg 3.68, 8 Y 3.96
Y  0.0000  0.5000  0.2500  4 Hg 3.00
Y  0.0000  0.5000  0.7500  4 Hg 3.00
Y  0.5000  0.0000  0.2500  4 Hg 3.00
Y  0.5000  0.0000  0.7500  4 Hg 3.00
Hg  0.0000  0.0000  0.3917  1 Hg 2.71, 4 Y 3.00
Hg  0.0000  0.0000  0.6083  1 Hg 2.71, 4 Y 3.00
Hg  0.5000  0.5000  0.1083  1 Hg 2.71, 4 Y 3.00
Hg  0.5000  0.5000  0.8917  1 Hg 2.71, 4 Y 3.00

version A takes first place; second place is 120 meV/atom up.

Version A
Density functional theory data (SCAN) for LaYHg at its PBEsol-relaxed geometry.

Results
Space group: No. 216

Cell lengths 7.2832, 7.2832, 7.2832 Å; angles 90.00, 90.00, 90.00 degrees
With the nearest neighbours (Å) after each atom.
Positions (direct):
La  0.0000  0.0000  0.0000  4 Hg 3.15
La  0.0000  0.5000  0.5000  4 Hg 3.15
La  0.5000  0.0000  0.5000  4 Hg 3.15
La  0.5000  0.5000  0.0000  4 Hg 3.15
Y  0.0000  0.0000  0.5000  4 Hg 3.15
Y  0.0000  0.5000  0.0000  4 Hg 3.15
Y  0.5000  0.0000  0.0000  4 Hg 3.15
Y  0.5000  0.5000  0.5000  4 Hg 3.15
Hg  0.2500  0.2500  0.2500  4 Y 3.15, 4 La 3.15
Hg  0.2500  0.7500  0.7500  4 Y 3.15, 4 La 3.15
Hg  0.7500  0.2500  0.7500  4 Y 3.15, 4 La 3.15
Hg  0.7500  0.7500  0.2500  4 Y 3.15, 4 La 3.15

Version B
Density functional theory data (SCAN) for LaYHg at its PBEsol-relaxed geometry.

Results
Space group: No. 107

Cell lengths 3.6703, 3.6703, 12.7730 Å; angles 90.00, 90.00, 90.00 degrees
With the nearest neighbours (Å) after each atom.
Positions (direct):
La  0.0000  0.0000  0.0000  4 Hg 3.37, 4 Y 3.63, 4 La 3.67
La  0.5000  0.5000  0.5000  4 Hg 3.37, 4 Y 3.63, 4 La 3.67
Y  0.0000  0.0000  0.6982  4 Hg 3.11
Y  0.5000  0.5000  0.1982  4 Hg 3.11
Hg  0.0000  0.0000  0.3319  4 Y 3.11, 4 La 3.37
Hg  0.5000  0.5000  0.8319  4 Y 3.11, 4 La 3.37

version B takes first place; second place is 120 meV/atom up.

Version A
Density functional theory data (SCAN) for LaZrHg2 at its PBEsol-relaxed geometry.

Results
Space group: No. 225

Cell lengths 7.3229, 7.3229, 7.3229 Å; angles 90.00, 90.00, 90.00 degrees
With the nearest neighbours (Å) after each atom.
Positions (direct):
La  0.0000  0.0000  0.0000  8 Hg 3.17
La  0.0000  0.5000  0.5000  8 Hg 3.17
La  0.5000  0.0000  0.5000  8 Hg 3.17
La  0.5000  0.5000  0.0000  8 Hg 3.17
Zr  0.0000  0.0000  0.5000  8 Hg 3.17
Zr  0.0000  0.5000  0.0000  8 Hg 3.17
Zr  0.5000  0.0000  0.0000  8 Hg 3.17
Zr  0.5000  0.5000  0.5000  8 Hg 3.17
Hg  0.2500  0.2500  0.2500  4 Zr 3.17, 4 La 3.17
Hg  0.2500  0.2500  0.7500  4 Zr 3.17, 4 La 3.17
Hg  0.2500  0.7500  0.2500  4 Zr 3.17, 4 La 3.17
Hg  0.2500  0.7500  0.7500  4 Zr 3.17, 4 La 3.17
Hg  0.7500  0.2500  0.2500  4 Zr 3.17, 4 La 3.17
Hg  0.7500  0.2500  0.7500  4 Zr 3.17, 4 La 3.17
Hg  0.7500  0.7500  0.2500  4 Zr 3.17, 4 La 3.17
Hg  0.7500  0.7500  0.7500  4 Zr 3.17, 4 La 3.17

Version B
Density functional theory data (SCAN) for LaZrHg2 at its PBEsol-relaxed geometry.

Results
Space group: No. 44

Cell lengths 3.4857, 5.2428, 10.5109 Å; angles 90.00, 90.00, 90.00 degrees
With the nearest neighbours (Å) after each atom.
Positions (direct):
La  0.0000  0.0000  0.0000  6 Hg 3.15-3.28, 2 Zr 3.28, 2 La 3.49
La  0.5000  0.5000  0.5000  6 Hg 3.15-3.28, 2 Zr 3.28, 2 La 3.49
Zr  0.0000  0.5000  0.7648  6 Hg 3.09-3.16, 2 La 3.28
Zr  0.5000  0.0000  0.2648  6 Hg 3.09-3.16, 2 La 3.28
Hg  0.0000  0.0000  0.5075  2 Hg 2.96, 2 Zr 3.09, 4 La 3.15
Hg  0.0000  0.5000  0.2353  2 Hg 2.96, 4 Zr 3.16, 2 La 3.28
Hg  0.5000  0.0000  0.7353  2 Hg 2.96, 4 Zr 3.16, 2 La 3.28
Hg  0.5000  0.5000  0.0075  2 Hg 2.96, 2 Zr 3.09, 4 La 3.15

Version C
Density functional theory data (SCAN) for LaZrHg2 at its PBEsol-relaxed geometry.

Results
Space group: No. 47

Cell lengths 3.1920, 4.1624, 7.1931 Å; angles 90.00, 90.00, 90.00 degrees
With the nearest neighbours (Å) after each atom.
Positions (direct):
La  0.0000  0.0000  0.0000  2 La 3.19, 8 Hg 3.34
Zr  0.0000  0.0000  0.5000  8 Hg 3.04, 2 Zr 3.19
Hg  0.5000  0.5000  0.2864  4 Zr 3.04, 3 Hg 3.07-3.19, 4 La 3.34
Hg  0.5000  0.5000  0.7136  4 Zr 3.04, 3 Hg 3.07-3.19, 4 La 3.34

version C takes first place; second place is 82 meV/atom up.

Version A
Density functional theory data (SCAN) for NaLi2Hg2 at its PBEsol-relaxed geometry.

Results
Space group: No. 139

Cell lengths 4.1255, 4.1255, 12.9185 Å; angles 90.00, 90.00, 90.00 degrees
With the nearest neighbours (Å) after each atom.
Positions (direct):
Na  0.0000  0.0000  0.0000  8 Hg 3.25
Na  0.5000  0.5000  0.5000  8 Hg 3.25
Li  0.0000  0.5000  0.2500  4 Hg 2.74, 4 Li 2.92
Li  0.0000  0.5000  0.7500  4 Hg 2.74, 4 Li 2.92
Li  0.5000  0.0000  0.2500  4 Hg 2.74, 4 Li 2.92
Li  0.5000  0.0000  0.7500  4 Hg 2.74, 4 Li 2.92
Hg  0.0000  0.0000  0.3893  4 Li 2.74, 1 Hg 2.86
Hg  0.0000  0.0000  0.6107  4 Li 2.74, 1 Hg 2.86
Hg  0.5000  0.5000  0.1107  4 Li 2.74, 1 Hg 2.86
Hg  0.5000  0.5000  0.8893  4 Li 2.74, 1 Hg 2.86

Version B
Density functional theory data (SCAN) for NaLi2Hg2 at its PBEsol-relaxed geometry.

Results
Space group: No. 127

Cell lengths 8.1470, 8.1470, 3.0727 Å; angles 90.00, 90.00, 90.00 degrees
With the nearest neighbours (Å) after each atom.
Positions (direct):
Na  0.0000  0.0000  0.0000  2 Na 3.07, 4 Hg 3.18, 8 Li 3.42
Na  0.5000  0.5000  0.0000  2 Na 3.07, 4 Hg 3.18, 8 Li 3.42
Li  0.1620  0.3380  0.5000  6 Hg 2.81-2.86, 2 Li 3.07
Li  0.3380  0.8380  0.5000  6 Hg 2.81-2.86, 2 Li 3.07
Li  0.6620  0.1620  0.5000  6 Hg 2.81-2.86, 2 Li 3.07
Li  0.8380  0.6620  0.5000  6 Hg 2.81-2.86, 2 Li 3.07
Hg  0.1334  0.6334  0.0000  6 Li 2.81-2.86, 3 Hg 3.07
Hg  0.3666  0.1334  0.0000  6 Li 2.81-2.86, 3 Hg 3.07
Hg  0.6334  0.8666  0.0000  6 Li 2.81-2.86, 3 Hg 3.07
Hg  0.8666  0.3666  0.0000  6 Li 2.81-2.86, 3 Hg 3.07

version B takes first place; second place is 22 meV/atom up.